Entry 1:
VPdRh3: relaxed, PBE.

The space group is Pm-3m (No. 221) and the conventional cell measures 4.703, 4.703 and 4.703 Å, with angles of 90.00, 90.00 and 90.00 degrees. The asymmetric unit holds V at (0.000, 0.000, 0.000), Pd at (0.500, 0.500, 0.500) and Rh at (0.000, 0.500, 0.500).

Its crystal system is cubic. The value obtained for the energy of formation is 1.6583 eV/atom.


Entry 2:
CaBe2Ir: relaxed, PBE.

The space group is Cm (No. 8) and the conventional cell measures 6.724, 3.885 and 5.666 Å, with angles of 90.00, 113.36 and 90.00 degrees. The asymmetric unit holds Ca at (0.000, 0.000, 0.000), Be at (0.002, 0.500, 0.507), Be at (0.182, 0.000, 0.546) and Ir at (0.309, 0.500, 0.427).

Its crystal system is monoclinic. The value obtained for the energy of formation is -0.3584 eV/atom.


Entry 3:
BaTl2IrBr: relaxed, PBE.

The space group is P4/mmm (No. 123) and the conventional cell measures 5.274, 5.274 and 6.169 Å, with angles of 90.00, 90.00 and 90.00 degrees. The asymmetric unit holds Ba at (0.000, 0.000, 0.000), Tl at (0.000, 0.500, 0.500), Ir at (0.000, 0.000, 0.500) and Br at (0.500, 0.500, 0.000).

Its crystal system is tetragonal. As for the formation energy (no corrections): -2.98 eV per formula unit.


Entry 4:
BaMn3Cr: relaxed, PBE.

The space group is Pm-3m (No. 221) and the conventional cell measures 4.810, 4.810 and 4.810 Å, with angles of 90.00, 90.00 and 90.00 degrees. The asymmetric unit holds Ba at (0.000, 0.000, 0.000), Mn at (0.000, 0.500, 0.500) and Cr at (0.500, 0.500, 0.500).

Its crystal system is cubic. The value obtained for the energy of formation is 0.7612 eV/atom.


Entry 5:
ZrCdP: relaxed, PBE.

The space group is F-43m (No. 216) and the conventional cell measures 6.291, 6.291 and 6.291 Å, with angles of 90.00, 90.00 and 90.00 degrees. The asymmetric unit holds Zr at (0.000, 0.000, 0.000), Cd at (0.000, 0.000, 0.500) and P at (0.250, 0.250, 0.750).

Its crystal system is cubic. The value obtained for the energy of formation is -0.1347 eV/atom.


Entry 6:
UVIr2: relaxed, PBE.

The space group is P4/mmm (No. 123) and the conventional cell measures 2.893, 2.893 and 7.740 Å, with angles of 90.00, 90.00 and 90.00 degrees. The asymmetric unit holds U at (0.000, 0.000, 0.000), V at (0.000, 0.000, 0.500) and Ir at (0.500, 0.500, 0.285).

Its crystal system is tetragonal. The value obtained for the energy of formation is -0.3994 eV/atom.


Entry 7:
Hf7Sn2As2: relaxed, PBE.

The space group is C2/m (No. 12) and the conventional cell measures 9.883, 8.261 and 6.163 Å, with angles of 90.00, 90.08 and 90.00 degrees. The asymmetric unit holds Hf at (0.000, 0.000, 0.000), Hf at (0.000, 0.500, 0.254), Hf at (0.250, 0.250, 0.257), Sn at (0.000, 0.180, 0.500) and As at (0.226, 0.500, 0.000).

Its crystal system is monoclinic. The value obtained for the energy of formation is -0.1739 eV/atom.


Number 1: uncorrected energy -5.6149 eV per atom. Number 2: uncorrected energy -4.9371 eV per atom. Number 3: uncorrected energy -4.0338 eV per atom. Number 4: uncorrected energy -7.0498 eV per atom. Number 5: uncorrected energy -5.0924 eV per atom. Number 6: uncorrected energy -9.9316 eV per atom. Number 7: uncorrected energy -8.0811 eV per atom.